# Re2RuSe GGA-PBE optimized geometry
data_Re2RuSe
_chemical_formula_sum 'Re2 Ru1 Se1'
_space_group_name_H-M_alt 'P 4/m m m'
_space_group_IT_number 123
_space_group_name_Hall '-P 4 2'
_cell_length_a 3.713
_cell_length_b 3.713
_cell_length_c 4.474
_cell_angle_alpha 90.00
_cell_angle_beta 90.00
_cell_angle_gamma 90.00
loop_
_atom_site_label
_atom_site_type_symbol
_atom_site_fract_x
_atom_site_fract_y
_atom_site_fract_z
Re1 Re 0.000 0.500 0.000
Ru1 Ru 0.000 0.000 0.500
Se1 Se 0.500 0.500 0.500
# V (Å³/atom): 15.4
# Energy (eV/atom): -8.61
# M_tot (μB per formula unit): 0.00
# Formation energy without anion corrections (eV per atom): 0.81
# Theoretical density (g/cm³): 14.873